(1)
Below is a relaxed Li3Ac2In5 crystal, with properties calculated at the PBE level.

The structure in POSCAR format:
```
Li3Ac2In5
1.0
-5.7089 6.7158 3.3913
5.7089 -6.7158 3.3913
5.7089 6.7158 -3.3913
Li Ac In
6 4 10
Cartesian
7.1013 1.6324 0.0000
0.0000 0.0000 1.6956
1.3924 5.0834 0.0000
4.3164 1.6324 3.3913
0.0000 0.0000 5.0869
-1.3924 5.0834 3.3913
2.8678 1.7342 0.0000
2.8678 -1.7342 3.3913
2.8411 8.4500 0.0000
2.8411 4.9816 3.3913
5.7089 3.3636 -1.6956
0.0000 3.3522 5.0869
9.7781 1.5541 0.0000
5.7089 0.0000 1.6956
4.0692 5.1617 0.0000
0.0000 3.3522 1.6956
5.7089 3.3636 1.6956
1.6396 1.5541 3.3913
0.0000 6.7158 1.6956
-4.0692 5.1617 3.3913
```

Summary:
symmetry = Ibam
ρ = 6.698 g/cm3
energy of formation = -0.38 eV per atom

(2)
Below is a relaxed Ac2Pm3Ni2 crystal, with properties calculated at the PBE level.

The structure in POSCAR format:
```
Ac2Pm3Ni2
1.0
12.4151 0.0000 0.0000
0.0000 3.8630 0.0000
-3.6187 0.0000 8.6648
Ac Pm Ni
4 6 4
Cartesian
0.9985 0.0000 2.5846
1.5904 1.9315 6.0802
7.2060 1.9315 2.5846
7.7979 0.0000 6.0802
-1.8093 1.9315 4.3324
-1.8690 1.9315 7.9706
4.4578 0.0000 0.6942
4.3982 0.0000 4.3324
4.3386 0.0000 7.9706
10.6653 1.9315 0.6942
-0.7124 0.0000 6.2796
3.3012 1.9315 2.3852
5.4951 1.9315 6.2796
9.5088 0.0000 2.3852
```

Summary:
symmetry = C2/m
ρ = 8.043 g/cm3
energy of formation = -0.17 eV per atom